Record 1
A plane-wave DFT calculation with PBE was carried out for a geometry-optimized CsZnAsF6 structure.

Cell lengths 5.453, 5.504, 6.417 Å; angles 90.59, 91.33, 113.72 degrees
Space group P1 (No. 1)
Unique sites:
Cs: 0.000 0.000 0.000
Zn: 0.321 0.681 0.500
As: 0.679 0.320 0.500
F: 0.065 0.447 0.697
F: 0.396 0.359 0.342
F: 0.410 0.027 0.683
F: 0.541 0.930 0.296
F: 0.641 0.592 0.663
F: 0.958 0.593 0.322

## Properties
E ... -39.1 eV/cell
Density of states at the Fermi level ... 0.000 states/eV per cell



Record 2
A plane-wave DFT calculation with PBE was carried out for a geometry-optimized Cs2ZnAsF6 structure.

Cell lengths 6.040, 6.040, 10.580 Å; angles 90.00, 90.00, 90.00 degrees
Space group I4/mmm (No. 139)
Unique sites:
Cs: 0.000 0.500 0.250
Zn: 0.000 0.000 0.000
As: 0.000 0.000 0.500
F: 0.000 0.000 0.181
F: 0.241 0.241 0.500

## Properties
E ... -83.4 eV/cell



Record 3
A plane-wave DFT calculation with PBE was carried out for a geometry-optimized CsFe2As2 structure.

Cell lengths 3.784, 3.784, 15.447 Å; angles 90.00, 90.00, 90.00 degrees
Space group I4/mmm (No. 139)
Unique sites:
Cs: 0.000 0.000 0.000
Fe: 0.000 0.500 0.250
As: 0.000 0.000 0.339

## Properties
Energy relative to the elements ... -132 kJ/mol of formula units
Density of states at the Fermi level ... 9.116 states/eV per cell



Record 4
A plane-wave DFT calculation with PBE was carried out for a geometry-optimized CsFeAs2 structure.

Cell lengths 3.9317, 3.9317, 22.1816 Å; angles 90.00, 90.00, 120.00 degrees
Space group R-3m (No. 166, hexagonal axes)
Unique sites:
Cs: 0.0000 0.0000 0.0000
Fe: 0.0000 0.0000 0.5000
As: 0.0000 0.0000 0.2088

## Properties
Energy relative to the elements ... -41 kJ/mol of formula units
Density of states at the Fermi level ... 12.336 states/eV per cell



Record 5
A plane-wave DFT calculation with PBE was carried out for a geometry-optimized CsFeAs structure.

Cell lengths 4.411, 7.028, 7.038 Å; angles 70.52, 79.55, 80.09 degrees
Space group P1 (No. 1)
Unique sites:
Cs: 0.000 0.000 0.000
Cs: 0.226 0.626 0.626
Fe: 0.346 0.278 0.282
Fe: 0.874 0.349 0.345
As: 0.612 0.538 0.087
As: 0.618 0.088 0.539

## Properties
Energy relative to the elements ... 23 kJ/mol of formula units
Density of states at the Fermi level ... 3.136 states/eV per cell



Record 6
A plane-wave DFT calculation with PBE was carried out for a geometry-optimized CsFeAs structure.

Cell lengths 4.011, 4.011, 13.106 Å; angles 85.17, 87.80, 60.01 degrees
Space group P1 (No. 1)
Unique sites:
Cs: 0.000 0.000 0.000
Cs: 0.324 0.505 0.391
Fe: 0.329 0.413 0.715
Fe: 0.661 0.770 0.633
As: 0.664 0.721 0.807
As: 0.994 0.114 0.596

## Properties
Energy relative to the elements ... -22 kJ/mol of formula units
Density of states at the Fermi level ... 3.874 states/eV per cell



Record 7
A plane-wave DFT calculation with PBE was carried out for a geometry-optimized CsFeAs structure.

Cell lengths 4.276, 11.404, 8.314 Å; angles 90.00, 90.00, 90.00 degrees
Space group Ima2 (No. 46)
Unique sites:
Cs: 0.250 0.184 0.000
Fe: 0.250 0.528 0.113
As: 0.250 0.564 0.840

## Properties
Energy relative to the elements ... 84 kJ/mol of formula units
Density of states at the Fermi level ... 6.904 states/eV per cell



Record 8
A plane-wave DFT calculation with PBE was carried out for a geometry-optimized CsFeAs structure.

Cell lengths 4.216, 6.921, 7.440 Å; angles 106.77, 105.98, 90.57 degrees
Space group P-1 (No. 2)
Unique sites:
Cs: 0.086 0.310 0.187
Fe: 0.217 0.913 0.430
As: 0.359 0.193 0.720

## Properties
Energy relative to the elements ... -40 kJ/mol of formula units
Density of states at the Fermi level ... 6.041 states/eV per cell



Record 9
A plane-wave DFT calculation with PBE was carried out for a geometry-optimized CsFeAs3 structure.

Cell lengths 4.946, 4.946, 4.946 Å; angles 90.00, 90.00, 90.00 degrees
Space group Pm-3m (No. 221)
Unique sites:
Cs: 0.000 0.000 0.000
Fe: 0.500 0.500 0.500
As: 0.000 0.500 0.500

## Properties
Energy relative to the elements ... 120 kJ/mol of formula units
Density of states at the Fermi level ... 5.038 states/eV per cell



Record 10
A plane-wave DFT calculation with PBE was carried out for a geometry-optimized CsFeAs structure.

Cell lengths 3.952, 3.952, 12.057 Å; angles 90.00, 90.00, 90.00 degrees
Space group P4/nmm (No. 129, origin choice 2)
Unique sites:
Cs: 0.250 0.250 0.216
Fe: 0.250 0.750 0.500
As: 0.250 0.250 0.604

## Properties
Energy relative to the elements ... -65 kJ/mol of formula units
Density of states at the Fermi level ... 6.561 states/eV per cell



Record 11
A plane-wave DFT calculation with PBE was carried out for a geometry-optimized Cs3FeAs structure.

Cell lengths 5.870, 5.870, 5.870 Å; angles 90.00, 90.00, 90.00 degrees
Space group Pm-3m (No. 221)
Unique sites:
Cs: 0.000 0.000 0.500
Fe: 0.000 0.000 0.000
As: 0.500 0.500 0.500

## Properties
Energy relative to the elements ... 491 kJ/mol of formula units
Density of states at the Fermi level ... 12.873 states/eV per cell



Record 12
A plane-wave DFT calculation with PBE was carried out for a geometry-optimized CsNa2FeAs structure.

Cell lengths 5.734, 5.734, 4.567 Å; angles 90.00, 90.00, 90.00 degrees
Space group P4/mmm (No. 123)
Unique sites:
Cs: 0.000 0.000 0.000
Na: 0.000 0.500 0.500
Fe: 0.500 0.500 0.500
As: 0.500 0.500 0.000

## Properties
Energy relative to the elements ... 67 kJ/mol of formula units
Density of states at the Fermi level ... 4.074 states/eV per cell



Copy entry 8 word for word.
A plane-wave DFT calculation with PBE was carried out for a geometry-optimized CsFeAs structure.

Cell lengths 4.216, 6.921, 7.440 Å; angles 106.77, 105.98, 90.57 degrees
Space group P-1 (No. 2)
Unique sites:
Cs: 0.086 0.310 0.187
Fe: 0.217 0.913 0.430
As: 0.359 0.193 0.720

## Properties
Energy relative to the elements ... -40 kJ/mol of formula units
Density of states at the Fermi level ... 6.041 states/eV per cell